(1)
Here is GaGeF2 after structural relaxation from Alexandria. Energies are from PBE. Values from VASP.

Output
Energy relative to the elements, uncorrected ... -0.993 eV per atom
Final energy ... -15.361 eV/cell
DOS at the Fermi energy ... 1.7 states/eV per cell
Calculated volume ... 60 Å³/cell

```
&SYSTEM
  ibrav = 0, nat = 4, ntyp = 3
/
ATOMIC_SPECIES
Ge 72.64 Ge.upf
Ga 69.72 Ga.upf
F 19.00 F.upf
CELL_PARAMETERS angstrom
4.052 -1.697 -0.329
1.170 -3.413 2.527
0.583 -3.977 -1.802
ATOMIC_POSITIONS crystal
Ge 0.500 0.500 0.500
Ga 0.000 0.000 0.000
F 0.250 0.250 0.250
F 0.750 0.750 0.750
```

---

(2)
Here is FeAsPb3 after structural relaxation from Alexandria. Energies are from PBE. Values from VASP.

Output
Final energy ... -19.158 eV/cell
Formation energy ... 5.1 eV per formula unit
DOS at the Fermi energy ... 10.7 states/eV per cell
Calculated volume ... 173 Å³/cell

```
&SYSTEM
  ibrav = 0, nat = 5, ntyp = 3
/
ATOMIC_SPECIES
Pb 207.20 Pb.upf
As 74.92 As.upf
Fe 55.84 Fe.upf
CELL_PARAMETERS angstrom
5.572 0.000 0.000
0.000 5.572 0.000
0.000 0.000 5.572
ATOMIC_POSITIONS crystal
Pb 0.000 0.500 0.000
Pb 0.000 0.000 0.500
Pb 0.500 0.000 0.000
As 0.000 0.000 0.000
Fe 0.500 0.500 0.500
```

---

(3)
Here is TiReMo3 after structural relaxation from Alexandria. Energies are from PBE. Values from VASP.

Output
Final energy ... -45.291 eV/cell
Formation energy ... 7.5 eV per formula unit
DOS at the Fermi energy ... 9.4 states/eV per cell
Calculated volume ... 105 Å³/cell

```
&SYSTEM
  ibrav = 0, nat = 5, ntyp = 3
/
ATOMIC_SPECIES
Re 186.21 Re.upf
Mo 95.94 Mo.upf
Ti 47.87 Ti.upf
CELL_PARAMETERS angstrom
-1.027 4.328 -1.572
-2.760 -1.867 -3.339
-3.685 0.193 2.938
ATOMIC_POSITIONS crystal
Re 0.000 0.000 0.000
Mo 0.000 0.500 0.000
Mo 0.000 0.000 0.500
Mo 0.500 0.000 0.000
Ti 0.500 0.500 0.500
```

---

(4)
Here is Be2FeRe after structural relaxation from Alexandria. Energies are from PBE. Values from VASP.

Output
Final energy ... -27.896 eV/cell
Formation energy ... 0.5 eV per formula unit
DOS at the Fermi energy ... 7.1 states/eV per cell
Calculated volume ... 41 Å³/cell

```
&SYSTEM
  ibrav = 0, nat = 4, ntyp = 3
/
ATOMIC_SPECIES
Re 186.21 Re.upf
Fe 55.84 Fe.upf
Be 9.01 Be.upf
CELL_PARAMETERS angstrom
0.000 2.733 2.733
2.733 0.000 2.733
2.733 2.733 0.000
ATOMIC_POSITIONS crystal
Re 0.500 0.500 0.500
Fe 0.000 0.000 0.000
Be 0.250 0.250 0.250
Be 0.750 0.750 0.750
```

---

(5)
Here is Si2HgP after structural relaxation from Alexandria. Energies are from PBE. Values from VASP.

Output
Energy relative to the elements, uncorrected ... 0.266 eV per atom
Final energy ... -15.494 eV/cell
DOS at the Fermi energy ... 1.0 states/eV per cell
Calculated volume ... 74 Å³/cell

```
&SYSTEM
  ibrav = 0, nat = 4, ntyp = 3
/
ATOMIC_SPECIES
Hg 200.59 Hg.upf
P 30.97 P.upf
Si 28.09 Si.upf
CELL_PARAMETERS angstrom
3.521 -0.010 0.158
1.769 3.045 0.158
1.838 1.054 7.022
ATOMIC_POSITIONS crystal
Hg 0.522 0.522 0.509
P 0.245 0.245 0.190
Si 0.986 0.986 0.018
Si 0.748 0.748 0.783
```

---

(6)
Here is BaAg7Pd5 after structural relaxation from Alexandria. Energies are from PBE. Values from VASP.

Output
Final energy ... -49.875 eV/cell
Formation energy ... -2.0 eV per formula unit
DOS at the Fermi energy ... 5.6 states/eV per cell
Calculated volume ... 248 Å³/cell

```
&SYSTEM
  ibrav = 0, nat = 13, ntyp = 3
/
ATOMIC_SPECIES
Ba 137.33 Ba.upf
Ag 107.87 Ag.upf
Pd 106.42 Pd.upf
CELL_PARAMETERS angstrom
-2.764 -4.471 -1.661
1.004 -5.661 4.423
-6.673 -0.323 2.826
ATOMIC_POSITIONS crystal
Ba 0.006 0.994 0.994
Ag 0.651 0.349 0.349
Ag 0.352 0.648 0.648
Ag 0.997 0.355 0.650
Ag 0.997 0.650 0.355
Ag 0.271 0.229 0.229
Ag 0.500 0.776 0.224
Ag 0.500 0.224 0.776
Pd 0.499 0.999 0.502
Pd 0.999 0.999 0.502
Pd 0.499 0.502 0.999
Pd 0.999 0.502 0.999
Pd 0.729 0.771 0.771
```

---

(7)
Here is CsTe8Au2 after structural relaxation from Alexandria. Energies are from PBE. Values from VASP.

Output
Energy relative to the elements, uncorrected ... -0.036 eV per atom
Final energy ... -32.943 eV/cell
DOS at the Fermi energy ... 6.9 states/eV per cell
Calculated volume ... 418 Å³/cell

```
&SYSTEM
  ibrav = 0, nat = 11, ntyp = 3
/
ATOMIC_SPECIES
Cs 132.91 Cs.upf
Te 127.60 Te.upf
Au 196.97 Au.upf
CELL_PARAMETERS angstrom
5.856 -1.219 0.000
-1.988 8.206 0.000
-0.994 4.103 9.150
ATOMIC_POSITIONS crystal
Cs 0.500 0.000 0.000
Te 0.945 0.094 0.296
Te 0.945 0.390 0.704
Te 0.249 0.382 0.000
Te 0.500 0.764 0.472
Te 0.500 0.236 0.528
Te 0.751 0.618 0.000
Te 0.055 0.610 0.296
Te 0.055 0.906 0.704
Au 0.000 0.246 0.508
Au 0.000 0.754 0.492
```

---

(8)
Here is Sm3HoAl4 after structural relaxation from Alexandria. Energies are from PBE. Values from VASP.

Output
Final energy ... -36.747 eV/cell
Formation energy ... -3.0 eV per formula unit
DOS at the Fermi energy ... 2.9 states/eV per cell
Calculated volume ... 195 Å³/cell

```
&SYSTEM
  ibrav = 0, nat = 8, ntyp = 3
/
ATOMIC_SPECIES
Ho 164.93 Ho.upf
Sm 150.36 Sm.upf
Al 26.98 Al.upf
CELL_PARAMETERS angstrom
3.653 0.000 0.000
0.000 3.653 0.000
0.000 0.000 14.637
ATOMIC_POSITIONS crystal
Ho 0.500 0.500 0.000
Sm 0.500 0.500 0.246
Sm 0.500 0.500 0.500
Sm 0.500 0.500 0.754
Al 0.000 0.000 0.883
Al 0.000 0.000 0.117
Al 0.000 0.000 0.373
Al 0.000 0.000 0.627
```

---

(9)
Here is Rb2BiCBr6 after structural relaxation from Alexandria. Energies are from PBE. Values from VASP.

Output
Energy relative to the elements, uncorrected ... -0.437 eV per atom
Final energy ... -29.451 eV/cell
DOS at the Fermi energy ... 2.4 states/eV per cell
Calculated volume ... 324 Å³/cell

```
&SYSTEM
  ibrav = 0, nat = 10, ntyp = 4
/
ATOMIC_SPECIES
C 12.01 C.upf
Br 79.90 Br.upf
Bi 208.98 Bi.upf
Rb 85.47 Rb.upf
CELL_PARAMETERS angstrom
-2.237 0.714 7.321
-5.854 -4.805 -1.320
-0.868 -6.297 4.386
ATOMIC_POSITIONS crystal
C 0.500 0.500 0.000
Br 0.263 0.263 0.473
Br 0.737 0.737 0.527
Br 0.266 0.266 0.000
Br 0.734 0.734 0.000
Br 0.734 0.266 0.000
Br 0.266 0.734 0.000
Bi 0.000 0.000 0.000
Rb 0.750 0.250 0.500
Rb 0.250 0.750 0.500
```

---

(10)
Here is LaCe2MgAs4 after structural relaxation from Alexandria. Energies are from PBE. Values from VASP.

Output
Final energy ... -46.426 eV/cell
Formation energy ... -9.4 eV per formula unit
DOS at the Fermi energy ... 7.8 states/eV per cell
Calculated volume ... 213 Å³/cell

```
&SYSTEM
  ibrav = 0, nat = 8, ntyp = 4
/
ATOMIC_SPECIES
La 138.91 La.upf
Ce 140.12 Ce.upf
Mg 24.30 Mg.upf
As 74.92 As.upf
CELL_PARAMETERS angstrom
-3.237 -2.763 0.091
2.768 -3.044 6.026
-2.654 3.305 5.934
ATOMIC_POSITIONS crystal
La 0.500 0.500 0.000
Ce 0.000 0.000 0.000
Ce 0.500 0.000 0.500
Mg 0.000 0.500 0.500
As 0.000 0.759 0.743
As 0.000 0.241 0.257
As 0.500 0.752 0.257
As 0.500 0.248 0.743
```

---

(11)
Here is Re2TcPt after structural relaxation from Alexandria. Energies are from PBE. Values from VASP.

Output
Final energy ... -41.644 eV/cell
Formation energy ... -0.3 eV per formula unit
DOS at the Fermi energy ... 3.3 states/eV per cell
Calculated volume ... 59 Å³/cell

```
&SYSTEM
  ibrav = 0, nat = 4, ntyp = 3
/
ATOMIC_SPECIES
Pt 195.08 Pt.upf
Re 186.21 Re.upf
Tc 98.00 Tc.upf
CELL_PARAMETERS angstrom
3.921 0.000 0.000
0.000 3.893 0.000
0.000 0.000 3.893
ATOMIC_POSITIONS crystal
Pt 0.500 0.000 0.500
Re 0.000 0.000 0.000
Re 0.000 0.500 0.500
Tc 0.500 0.500 0.000
```

---

(12)
Here is SnHgAs after structural relaxation from Alexandria. Energies are from PBE. Values from VASP.

Output
Final energy ... -8.792 eV/cell
Formation energy ... 0.2 eV per formula unit
DOS at the Fermi energy ... 0.9 states/eV per cell
Calculated volume ... 94 Å³/cell

```
&SYSTEM
  ibrav = 0, nat = 3, ntyp = 3
/
ATOMIC_SPECIES
As 74.92 As.upf
Hg 200.59 Hg.upf
Sn 118.71 Sn.upf
CELL_PARAMETERS angstrom
3.931 0.000 0.000
0.000 3.931 0.000
-1.965 -1.965 6.071
ATOMIC_POSITIONS crystal
As 0.223 0.223 0.445
Hg 0.004 0.004 0.008
Sn 0.774 0.774 0.547
```